This record from Alexandria via LeMat-Bulk describes crystalline ZrCoRe2 at its relaxed geometry. The functional is GGA-PBEsol.

Values from the calculation:
Energy above the most stable polymorph in this dataset (kJ/mol of formula units): 26
DOS(E_F) (states/eV per atom): 1.14
Energy of formation (eV/atom): 0.098

Unit cell a=3.786 b=3.793 c=8.206 alpha=90.00 beta=90.00 gamma=90.00
Space group Cmmm (No. 65)
One atom of each set of equivalent atoms:
Zr  0.000  0.000  0.000 (multiplicity 2)
Co  0.000  0.000  0.500 (multiplicity 2)
Re  0.000  0.500  0.289 (multiplicity 4)

This record from Alexandria via LeMat-Bulk describes crystalline ZrCoRe2 at its relaxed geometry. The functional is GGA-PBEsol.

Values from the calculation:
Energy above the most stable polymorph in this dataset (kJ/mol of formula units): 51
DOS(E_F) (states/eV per atom): 1.33
Energy of formation (eV/atom): 0.164

Unit cell a=3.774 b=3.774 c=8.411 alpha=90.00 beta=90.00 gamma=90.00
Space group I4/mmm (No. 139)
One atom of each set of equivalent atoms:
Zr  0.000  0.000  0.000 (multiplicity 2)
Co  0.000  0.000  0.500 (multiplicity 2)
Re  0.000  0.500  0.250 (multiplicity 4)

This record from Alexandria via LeMat-Bulk describes crystalline ZrCo2Re at its relaxed geometry. The functional is GGA-PBEsol.

Values from the calculation:
DOS(E_F) (states/eV per atom): 1.07
Energy of formation (eV/atom): 0.200

Unit cell a=6.027 b=6.027 c=6.027 alpha=90.00 beta=90.00 gamma=90.00
Space group F-43m (No. 216)
One atom of each set of equivalent atoms:
Zr  0.000  0.000  0.000 (multiplicity 4)
Co  0.000  0.000  0.500 (multiplicity 4)
Co  0.250  0.250  0.250 (multiplicity 4)
Re  0.250  0.250  0.750 (multiplicity 4)

This record from Alexandria via LeMat-Bulk describes crystalline Co3Rh2 at its relaxed geometry. The functional is GGA-PBEsol.

Values from the calculation:
Energy above the most stable polymorph in this dataset (kJ/mol of formula units): 0
DOS(E_F) (states/eV per atom): 1.51
Energy of formation (eV/atom): 0.081

Unit cell a=2.582 b=2.582 c=17.507 alpha=90.00 beta=90.00 gamma=90.00
Space group I4/mmm (No. 139)
One atom of each set of equivalent atoms:
Co  0.000  0.000  0.000 (multiplicity 2)
Co  0.000  0.000  0.205 (multiplicity 4)
Rh  0.000  0.000  0.399 (multiplicity 4)

This record from Alexandria via LeMat-Bulk describes crystalline CoRh3 at its relaxed geometry. The functional is GGA-PBEsol.

Values from the calculation:
DOS(E_F) (states/eV per atom): 1.57
Energy of formation (eV/atom): 0.067

Unit cell a=5.261 b=7.395 c=2.636 alpha=90.00 beta=90.00 gamma=90.00
Space group Cmmm (No. 65)
One atom of each set of equivalent atoms:
Co  0.000  0.000  0.000 (multiplicity 2)
Rh  0.000  0.500  0.000 (multiplicity 2)
Rh  0.250  0.250  0.500 (multiplicity 4)

This record from Alexandria via LeMat-Bulk describes crystalline Co3Rh4 at its relaxed geometry. The functional is GGA-PBEsol.

Values from the calculation:
DOS(E_F) (states/eV per atom): 1.44
Energy of formation (eV/atom): 0.065

Unit cell a=2.622 b=2.622 c=24.857 alpha=90.00 beta=90.00 gamma=90.00
Space group I4/mmm (No. 139)
One atom of each set of equivalent atoms:
Co  0.000  0.000  0.000 (multiplicity 2)
Co  0.000  0.000  0.281 (multiplicity 4)
Rh  0.000  0.000  0.148 (multiplicity 4)
Rh  0.000  0.000  0.430 (multiplicity 4)

This record from Alexandria via LeMat-Bulk describes crystalline Co2Rh at its relaxed geometry. The functional is GGA-PBEsol.

Values from the calculation:
DOS(E_F) (states/eV per atom): 1.73
Energy of formation (eV/atom): 0.088

Unit cell a=2.575 b=3.516 c=7.692 alpha=90.00 beta=90.00 gamma=90.00
Space group Immm (No. 71)
One atom of each set of equivalent atoms:
Co  0.000  0.000  0.171 (multiplicity 4)
Rh  0.000  0.000  0.500 (multiplicity 2)

This record from Alexandria via LeMat-Bulk describes crystalline Co2Rh at its relaxed geometry. The functional is GGA-PBEsol.

Values from the calculation:
DOS(E_F) (states/eV per atom): 1.56
Energy of formation (eV/atom): 0.080

Unit cell a=4.352 b=2.569 c=6.193 alpha=90.00 beta=91.49 gamma=90.00
Space group P2/m (No. 10)
One atom of each set of equivalent atoms:
Co  0.000  0.000  0.000 (multiplicity 1)
Co  0.167  0.500  0.321 (multiplicity 2)
Co  0.500  0.500  0.000 (multiplicity 1)
Rh  0.327  0.000  0.669 (multiplicity 2)

This record from Alexandria via LeMat-Bulk describes crystalline Co3Rh at its relaxed geometry. The functional is GGA-PBEsol.

Values from the calculation:
DOS(E_F) (states/eV per atom): 1.25
Energy of formation (eV/atom): 0.057

Unit cell a=4.410 b=8.152 c=5.037 alpha=90.00 beta=90.00 gamma=90.00
Space group Pnma (No. 62)
One atom of each set of equivalent atoms:
Co  0.081  0.250  0.126 (multiplicity 4)
Co  0.241  0.504  0.871 (multiplicity 8)
Rh  0.075  0.250  0.619 (multiplicity 4)

This record from Alexandria via LeMat-Bulk describes crystalline Co3Rh2 at its relaxed geometry. The functional is GGA-PBEsol.

Values from the calculation:
Energy above the most stable polymorph in this dataset (kJ/mol of formula units): 9
DOS(E_F) (states/eV per atom): 1.31
Energy of formation (eV/atom): 0.098

Unit cell a=3.908 b=11.894 c=2.556 alpha=90.00 beta=90.00 gamma=90.00
Space group Cmmm (No. 65)
One atom of each set of equivalent atoms:
Co  0.000  0.000  0.000 (multiplicity 2)
Co  0.000  0.201  0.000 (multiplicity 4)
Rh  0.000  0.390  0.500 (multiplicity 4)

This record from Alexandria via LeMat-Bulk describes crystalline CoRh3 at its relaxed geometry. The functional is GGA-PBEsol.

Values from the calculation:
DOS(E_F) (states/eV per atom): 1.30
Energy of formation (eV/atom): 0.060

Unit cell a=2.654 b=4.235 c=4.575 alpha=90.00 beta=90.00 gamma=90.00
Space group Pmm2 (No. 25)
One atom of each set of equivalent atoms:
Co  0.000  0.000  0.000 (multiplicity 1)
Rh  0.000  0.500  0.331 (multiplicity 1)
Rh  0.500  0.000  0.500 (multiplicity 1)
Rh  0.500  0.500  0.837 (multiplicity 1)

This record from Alexandria via LeMat-Bulk describes crystalline CoRh3 at its relaxed geometry. The functional is GGA-PBEsol.

Values from the calculation:
DOS(E_F) (states/eV per atom): 1.31
Energy of formation (eV/atom): 0.047

Unit cell a=2.6388 b=2.6388 c=25.4208 alpha=90.00 beta=90.00 gamma=120.00
Space group R-3m (No. 166, hexagonal axes)
One atom of each set of equivalent atoms:
Co  0.0000  0.0000  0.0000 (multiplicity 3)
Rh  0.0000  0.0000  0.2534 (multiplicity 6)
Rh  0.0000  0.0000  0.5000 (multiplicity 3)